[1]
The following is a GGA-PBE calculation of crystalline CaGd3 at its relaxed geometry, from the Alexandria database.

a b c (Å): 3.653 6.336 6.930
angles (deg): 117.20 105.28 90.00
Fractional coordinates of all 4 atoms:
Gd 0.500 0.496 0.000
Gd 0.244 0.581 0.489
Gd 0.756 0.093 0.511
Ca 0.000 0.997 0.000

Properties
Energy of formation: 7 kJ per mole of atoms
Volume: 34.07 Å³ per atom
Total magnetic moment: 7.63 μB per cell


[2]
The following is a GGA-PBE calculation of crystalline GeOs2RuAu at its relaxed geometry, from the Alexandria database.

a b c (Å): 4.546 4.631 4.546
angles (deg): 90.00 90.00 90.00
Fractional coordinates of all 5 atoms:
Au 0.000 0.500 0.000
Os 0.500 0.000 0.000
Os 0.000 0.000 0.500
Ge 0.000 0.000 0.000
Ru 0.500 0.500 0.500

Properties
Energy of formation: 177 kJ per mole of atoms
Volume: 19.14 Å³ per atom
Total magnetic moment: 3.01 μB per cell


[3]
The following is a GGA-PBE calculation of crystalline PuZn10Ga2 at its relaxed geometry, from the Alexandria database.

a b c (Å): 5.321 6.820 6.904
angles (deg): 81.35 67.33 67.04
Fractional coordinates of all 13 atoms:
Zn 0.356 0.649 0.639
Zn 0.715 0.788 0.782
Zn 0.500 0.000 0.500
Zn 0.503 0.212 0.782
Zn 0.995 0.649 0.361
Zn 0.644 0.351 0.361
Zn 0.285 0.212 0.218
Zn 0.497 0.788 0.218
Zn 0.000 0.000 0.500
Zn 0.005 0.351 0.639
Ga 0.500 0.500 0.000
Ga 0.000 0.500 0.000
Pu 0.000 0.000 0.000

Properties
Energy of formation: -9 kJ per mole of atoms
Volume: 16.38 Å³ per atom
Total magnetic moment: 5.89 μB per cell


[4]
The following is a GGA-PBE calculation of crystalline YF at its relaxed geometry, from the Alexandria database.

a b c (Å): 7.405 3.633 6.279
angles (deg): 90.00 106.40 90.00
Fractional coordinates of all 8 atoms:
Y 0.590 0.000 0.864
Y 0.590 0.500 0.364
Y 0.187 0.000 0.395
Y 0.187 0.500 0.895
F 0.753 0.000 0.252
F 0.026 0.500 0.176
F 0.753 0.500 0.752
F 0.026 0.000 0.676

Properties
Uncorrected formation energy: -2.4482 eV/atom
Relative energy among the computed polymorphs: 142 meV per atom
Volume: 20.26 Å³ per atom
Total magnetic moment: 2.94 μB per cell


[5]
The following is a GGA-PBE calculation of crystalline BaLi2Mo at its relaxed geometry, from the Alexandria database.

a b c (Å): 5.141 2.939 6.066
angles (deg): 83.79 90.00 90.00
Fractional coordinates of all 4 atoms:
Mo 0.500 0.250 0.250
Li 0.000 0.978 0.072
Li 0.000 0.522 0.428
Ba 0.500 0.750 0.750

Properties
Energy of formation: 76 kJ per mole of atoms
Relative energy among the computed polymorphs: 55 meV per atom
Volume: 22.78 Å³ per atom
Total magnetic moment: 0.00 μB per cell


[6]
The following is a GGA-PBE calculation of crystalline ZrScU2As4 at its relaxed geometry, from the Alexandria database.

a b c (Å): 3.948 6.840 6.969
angles (deg): 109.07 90.00 90.00
Fractional coordinates of all 8 atoms:
Sc 0.500 0.500 0.000
U 0.000 0.500 0.500
U 0.500 0.000 0.500
Zr 0.000 0.000 0.000
As 0.500 0.247 0.236
As 0.500 0.753 0.764
As 0.000 0.744 0.235
As 0.000 0.256 0.765

Properties
Energy of formation: -98 kJ per mole of atoms
Volume: 22.23 Å³ per atom
Total magnetic moment: 4.73 μB per cell


[7]
The following is a GGA-PBE calculation of crystalline TlBS2 at its relaxed geometry, from the Alexandria database.

a b c (Å): 4.706 4.706 4.706
angles (deg): 60.00 60.00 60.00
Fractional coordinates of all 4 atoms:
S 0.250 0.250 0.250
S 0.750 0.750 0.750
B 0.000 0.000 0.000
Tl 0.500 0.500 0.500

Properties
Uncorrected formation energy: 1.2010 eV/atom
Volume: 18.42 Å³ per atom
Total magnetic moment: 0.00 μB per cell


[8]
The following is a GGA-PBE calculation of crystalline CoSb2I at its relaxed geometry, from the Alexandria database.

a b c (Å): 6.634 6.634 7.498
angles (deg): 63.75 63.75 90.00
Fractional coordinates of all 8 atoms:
I 0.000 0.000 0.000
I 0.750 0.250 0.500
Co 0.250 0.750 0.500
Co 0.500 0.500 0.000
Sb 0.875 0.745 0.750
Sb 0.495 0.125 0.250
Sb 0.255 0.625 0.250
Sb 0.375 0.505 0.750

Properties
Uncorrected formation energy: 0.1678 eV/atom
Relative energy among the computed polymorphs: 0 meV per atom
Volume: 32.18 Å³ per atom
Total magnetic moment: 0.00 μB per cell